The following is a PBE-GGA calculation of a relaxed NbTcSeN2 crystal, from Alexandria via LeMat-Bulk.

Unit cell a=4.002 b=4.002 c=5.458 alpha=90.00 beta=90.00 gamma=90.00
Positions (direct):
Nb1 0.000 0.000 0.000
Tc1 0.500 0.500 0.500
Se1 0.000 0.000 0.500
N1 0.000 0.500 0.000
N2 0.500 0.000 0.000

Computed properties:
As for the crystal system: tetragonal. The value obtained for the distance to the lowest polymorph of the same formula is 0.0380 eV per atom. For the formation energy from raw total energies, the calculation gives 0.74 eV per atom. Its density is 5657 kg/m³. The density of states at the Fermi level is 2.92 states/eV per cell.